No. 1
This record from the Alexandria database describes a relaxed structure of La8Co3Cl4. The functional is PBE.

Lattice parameters (Å, degrees): 9.116 9.116 9.116 54.37 54.37 54.37
Element x y z (fractional)
La 0.213 0.744 0.744
La 0.228 0.228 0.228
La 0.256 0.256 0.787
La 0.256 0.787 0.256
La 0.744 0.213 0.744
La 0.744 0.744 0.213
La 0.772 0.772 0.772
La 0.787 0.256 0.256
Co 0.000 0.000 0.500
Co 0.000 0.500 0.000
Co 0.500 0.000 0.000
Cl 0.000 0.000 0.000
Cl 0.358 0.358 0.358
Cl 0.500 0.500 0.500
Cl 0.642 0.642 0.642

Results
Its space group is R-3m. The value obtained for the uncorrected formation energy is -0.87 eV per atom. The value obtained for the raw total energy is -0.3979 Ry per atom.

No. 2
This record from the Alexandria database describes a relaxed structure of La2CoCl. The functional is PBE.

Lattice parameters (Å, degrees): 7.178 7.178 7.178 90.00 90.00 90.00
Element x y z (fractional)
La 0.250 0.250 0.250
La 0.250 0.250 0.750
La 0.250 0.750 0.250
La 0.250 0.750 0.750
La 0.750 0.250 0.250
La 0.750 0.250 0.750
La 0.750 0.750 0.250
La 0.750 0.750 0.750
Co 0.000 0.000 0.000
Co 0.000 0.500 0.500
Co 0.500 0.000 0.500
Co 0.500 0.500 0.000
Cl 0.000 0.000 0.500
Cl 0.000 0.500 0.000
Cl 0.500 0.000 0.000
Cl 0.500 0.500 0.500

Results
Its space group is Fm-3m. The value obtained for the uncorrected formation energy is -0.50 eV per atom. The value obtained for the raw total energy is -0.3824 Ry per atom.